Entry 1:
## CuNiRu (PBE)

Data for an optimized crystal structure of CuNiRu.

a b c (Å): 4.466 4.517 4.808
angles (deg): 64.30 66.13 61.00
Sites, in units of the cell vectors:
Cu1 0.083 0.244 0.243
Cu2 0.917 0.756 0.757
Ni1 0.749 0.912 0.254
Ni2 0.251 0.088 0.746
Ru1 0.401 0.586 0.252
Ru2 0.599 0.414 0.748

Values from the calculation:
- polymorph energy (0 for the lowest one) (kcal/mol of atoms) = 1.28
- DFT formation energy (meV/atom) = 188.3


Entry 2:
## GePt2Pb2 (PBE)

Data for an optimized crystal structure of GePt2Pb2.

a b c (Å): 6.520 6.520 5.283
angles (deg): 90.00 90.00 90.00
Sites, in units of the cell vectors:
Pb1 0.177 0.677 0.500
Pb2 0.677 0.823 0.500
Pb3 0.823 0.323 0.500
Pb4 0.323 0.177 0.500
Ge1 0.000 0.000 0.000
Ge2 0.500 0.500 0.000
Pt1 0.352 0.852 0.000
Pt2 0.852 0.648 0.000
Pt3 0.648 0.148 0.000
Pt4 0.148 0.352 0.000

Values from the calculation:
- polymorph energy (0 for the lowest one) (kcal/mol of atoms) = 0.00
- DFT formation energy (meV/atom) = -65.3


Entry 3:
## TbEr7Tl2 (PBE)

Data for an optimized crystal structure of TbEr7Tl2.

a b c (Å): 5.299 8.960 8.960
angles (deg): 118.92 90.00 90.00
Sites, in units of the cell vectors:
Tb1 0.000 0.000 0.000
Er1 0.000 0.774 0.226
Er2 0.000 0.226 0.774
Er3 0.500 0.061 0.302
Er4 0.500 0.939 0.698
Er5 0.500 0.302 0.061
Er6 0.500 0.698 0.939
Er7 0.500 0.500 0.500
Tl1 0.500 0.694 0.306
Tl2 0.500 0.306 0.694

Values from the calculation:
- DFT formation energy (meV/atom) = 371.4


Entry 4:
## Fe3CoRe (PBE)

Data for an optimized crystal structure of Fe3CoRe.

a b c (Å): 4.428 4.428 4.428
angles (deg): 90.00 90.00 90.00
Last column: magnetic moment on the atom in μB.
Sites, in units of the cell vectors:
Re1 0.000 0.000 0.000  -0.33
Co1 0.500 0.500 0.500  1.98
Fe1 0.000 0.500 0.000  1.77
Fe2 0.000 0.000 0.500  1.72
Fe3 0.500 0.000 0.000  1.57

Values from the calculation:
- polymorph energy (0 for the lowest one) (kcal/mol of atoms) = 2.62
- DFT formation energy (meV/atom) = 1739.0